1.
Crystalline Ce8Ga3 at its relaxed geometry. Source: Alexandria, functional PBE.

a b c (Å): 16.8509 16.8509 16.8509
angles (deg): 169.85 162.65 20.14
Last column: nearest neighbours and their distance in Å.
Positions (direct):
Ce 0.0448 0.0448 0.0000  5 Ce 2.92-2.98, 2 Ga 3.26
Ce 0.2208 0.2208 0.0000  4 Ce 2.89-2.98
Ce 0.3206 0.8206 0.5000  5 Ce 2.89-3.03
Ce 0.4118 0.9118 0.5000  5 Ce 2.92-3.03
Ce 0.5882 0.0882 0.5000  5 Ce 2.92-3.03
Ce 0.6794 0.1794 0.5000  5 Ce 2.89-3.03
Ce 0.7792 0.7792 0.0000  4 Ce 2.89-2.98
Ce 0.9552 0.9552 0.0000  5 Ce 2.92-2.98, 2 Ga 3.26
Ga 0.1323 0.6323 0.5000  2 Ga 2.98, 12 Ce 3.26-3.34
Ga 0.5000 0.5000 0.0000  2 Ga 2.98, 12 Ce 3.28-3.30
Ga 0.8677 0.3677 0.5000  2 Ga 2.98, 12 Ce 3.26-3.34

Calculated values
- ΔH_f (0 K) (meV per atom) = -224.3

=====

2.
Crystalline Pr6Y12Tm at its relaxed geometry. Source: Alexandria, functional PBE.

a b c (Å): 8.7715 8.7715 8.7715
angles (deg): 79.56 79.56 79.56
Last column: nearest neighbours and their distance in Å.
Positions (direct):
Pr 0.2685 0.2685 0.6631  1 Tm 3.11, 3 Y 3.37-3.43
Pr 0.2685 0.6631 0.2685  1 Tm 3.11, 3 Y 3.37-3.43
Pr 0.3369 0.7315 0.7315  1 Tm 3.11, 3 Y 3.37-3.43
Pr 0.6631 0.2685 0.2685  1 Tm 3.11, 3 Y 3.37-3.43
Pr 0.7315 0.3369 0.7315  1 Tm 3.11, 3 Y 3.37-3.43
Pr 0.7315 0.7315 0.3369  1 Tm 3.11, 3 Y 3.37-3.43
Y 0.0142 0.0142 0.6955  3 Pr 3.37-3.43, 5 Y 3.50-3.58
Y 0.0144 0.3629 0.3629  7 Y 3.50-3.91, 5 Pr 3.60-3.70
Y 0.0142 0.6955 0.0142  3 Pr 3.37-3.43, 5 Y 3.50-3.58
Y 0.3045 0.9858 0.9858  3 Pr 3.37-3.43, 5 Y 3.50-3.58
Y 0.3629 0.0144 0.3629  7 Y 3.50-3.91, 5 Pr 3.60-3.70
Y 0.3629 0.3629 0.0144  7 Y 3.50-3.91, 5 Pr 3.60-3.70
Y 0.6371 0.6371 0.9856  7 Y 3.50-3.91, 5 Pr 3.60-3.70
Y 0.6371 0.9856 0.6371  7 Y 3.50-3.91, 5 Pr 3.60-3.70
Y 0.6955 0.0142 0.0142  3 Pr 3.37-3.43, 5 Y 3.50-3.58
Y 0.9858 0.3045 0.9858  3 Pr 3.37-3.43, 5 Y 3.50-3.58
Y 0.9856 0.6371 0.6371  7 Y 3.50-3.91, 5 Pr 3.60-3.70
Y 0.9858 0.9858 0.3045  3 Pr 3.37-3.43, 5 Y 3.50-3.58
Tm 0.5000 0.5000 0.5000  6 Pr 3.11

Calculated values
- E above lowest polymorph (eV/atom) = 0.000
- ΔH_f (0 K) (meV per atom) = 120.0

=====

3.
Crystalline CoTc2Br at its relaxed geometry. Source: Alexandria, functional PBE.

a b c (Å): 8.4613 8.4613 8.4613
angles (deg): 19.60 19.60 19.60
Last column: nearest neighbours and their distance in Å.
Positions (direct):
Co 0.0000 0.0000 0.0000  6 Tc 2.58, 6 Co 2.88
Tc 0.2539 0.2539 0.2539  3 Co 2.58, 3 Br 2.73, 6 Tc 2.88
Tc 0.7461 0.7461 0.7461  3 Co 2.58, 3 Br 2.73, 6 Tc 2.88
Br 0.5000 0.5000 0.5000  6 Tc 2.73, 6 Br 2.88

Calculated values
- E above lowest polymorph (eV/atom) = 0.259
- uncorrected formation energy (eV/atom) = 0.71

=====

4.
Crystalline MnZn2Ru at its relaxed geometry. Source: Alexandria, functional PBE.

a b c (Å): 5.4072 5.4072 5.4072
angles (deg): 102.02 102.02 125.71
Last column: nearest neighbours and their distance in Å.
Positions (direct):
Mn 0.0000 0.0000 0.0000  4 Zn 2.44, 2 Ru 2.47
Mn 0.7500 0.2500 0.5000  4 Zn 2.44, 2 Ru 2.47
Zn 0.1152 0.6250 0.9902  2 Mn 2.44, 2 Zn 2.47, 2 Ru 2.53
Zn 0.3750 0.3652 0.4902  2 Mn 2.44, 2 Zn 2.47, 2 Ru 2.53
Zn 0.6348 0.1250 0.0098  2 Mn 2.44, 2 Zn 2.47, 2 Ru 2.53
Zn 0.8750 0.8848 0.5098  2 Mn 2.44, 2 Zn 2.47, 2 Ru 2.53
Ru 0.2500 0.7500 0.5000  2 Mn 2.47, 4 Zn 2.53
Ru 0.5000 0.5000 0.0000  2 Mn 2.47, 4 Zn 2.53

Calculated values
- E above lowest polymorph (eV/atom) = 0.686
- ΔH_f (0 K) (meV per atom) = 638.4

=====

5.
Crystalline ZrPaAu2 at its relaxed geometry. Source: Alexandria, functional PBE.

a b c (Å): 3.1584 3.1584 8.4470
angles (deg): 90.00 90.00 90.00
Last column: nearest neighbours and their distance in Å.
Positions (direct):
Zr 0.0000 0.0000 0.0000  8 Au 3.02, 4 Zr 3.16
Pa 0.0000 0.0000 0.5000  8 Au 3.13, 4 Pa 3.16
Au 0.5000 0.5000 0.2402  4 Zr 3.02, 4 Pa 3.13, 4 Au 3.16
Au 0.5000 0.5000 0.7598  4 Zr 3.02, 4 Pa 3.13, 4 Au 3.16

Calculated values
- E above lowest polymorph (eV/atom) = 0.000
- ΔH_f (0 K) (meV per atom) = -379.2

=====

6.
Crystalline ScGa2Cu at its relaxed geometry. Source: Alexandria, functional PBE.

a b c (Å): 9.7803 9.7803 9.7803
angles (deg): 156.55 156.55 33.41
Last column: nearest neighbours and their distance in Å.
Positions (direct):
Sc 0.0000 0.0000 0.0000  4 Ga 2.77, 4 Cu 2.81
Sc 0.7500 0.2500 0.5000  4 Ga 2.77, 4 Cu 2.81
Ga 0.1515 0.6250 0.0265  4 Ga 2.67-2.96, 2 Cu 2.69, 2 Sc 2.77
Ga 0.3750 0.4015 0.5265  4 Ga 2.67-2.96, 2 Cu 2.69, 2 Sc 2.77
Ga 0.5985 0.1250 0.9735  4 Ga 2.67-2.96, 2 Cu 2.69, 2 Sc 2.77
Ga 0.8750 0.8485 0.4735  4 Ga 2.67-2.96, 2 Cu 2.69, 2 Sc 2.77
Cu 0.2500 0.7500 0.5000  4 Ga 2.69, 4 Sc 2.81
Cu 0.5000 0.5000 0.0000  4 Ga 2.69, 4 Sc 2.81

Calculated values
- ΔH_f (0 K) (meV per atom) = -76.6

=====

7.
Crystalline CaAc3 at its relaxed geometry. Source: Alexandria, functional PBE.

a b c (Å): 7.5376 7.5376 7.5376
angles (deg): 149.01 63.97 125.57
Last column: nearest neighbours and their distance in Å.
Positions (direct):
Ca 0.0000 0.0000 0.0000  10 Ac 3.94-4.00, 2 Ca 4.03
Ac 0.4101 0.6594 0.7507  9 Ac 3.92-4.03, 3 Ca 3.94-3.96
Ac 0.5016 0.0016 0.5000  8 Ac 3.92-4.03, 4 Ca 3.98-4.00
Ac 0.9087 0.6594 0.2493  9 Ac 3.92-4.03, 3 Ca 3.94-3.96

Calculated values
- ΔH_f (0 K) (meV per atom) = 23.3

=====

8.
Crystalline LaMgMo2 at its relaxed geometry. Source: Alexandria, functional PBE.

a b c (Å): 4.5722 4.5722 3.7882
angles (deg): 90.00 90.00 90.00
Last column: nearest neighbours and their distance in Å.
Positions (direct):
La 0.0000 0.0000 0.0000  8 Mo 2.97, 4 Mg 3.23
Mg 0.5000 0.5000 0.0000  8 Mo 2.97, 4 La 3.23
Mo 0.0000 0.5000 0.5000  4 La 2.97, 4 Mg 2.97, 4 Mo 3.23
Mo 0.5000 0.0000 0.5000  4 La 2.97, 4 Mg 2.97, 4 Mo 3.23

Calculated values
- ΔH_f (0 K) (meV per atom) = 758.3